[1]
# PBE AcYMg10, optimized geometry
# Formation energy from the elements in eV per atom: -0.0318
data_AcYMg10
_symmetry_space_group_name_H-M 'P m m m'
_symmetry_Int_Tables_number 47
_cell_length_a 4.9709
_cell_length_b 6.0491
_cell_length_c 10.4929
_cell_angle_alpha 90.00
_cell_angle_beta 90.00
_cell_angle_gamma 90.00
loop_
_symmetry_equiv_pos_as_xyz
'x,y,z'
'-x,-y,-z'
'-x,-y,z'
'x,y,-z'
'x,-y,-z'
'-x,y,z'
'-x,y,-z'
'x,-y,z'
loop_
_atom_site_label
_atom_site_fract_x
_atom_site_fract_y
_atom_site_fract_z
Ac1 0.0000 0.0000 0.0000
Y1 0.0000 0.5000 0.5000
Mg1 0.0000 0.0000 0.3416
Mg2 0.0000 0.5000 0.1782
Mg3 0.5000 0.0000 0.5000
Mg4 0.5000 0.2521 0.2554
Mg5 0.5000 0.5000 0.0000

***

[2]
# PBE RbCdRhF6, optimized geometry
# ΔE_f (raw) in eV/atom: -2.06
data_RbCdRhF6
_symmetry_space_group_name_H-M 'I m m a'
_symmetry_Int_Tables_number 74
_symmetry_space_group_name_Hall '-I 2b 2'
_cell_length_a 7.6455
_cell_length_b 7.7271
_cell_length_c 10.9657
_cell_angle_alpha 90.00
_cell_angle_beta 90.00
_cell_angle_gamma 90.00
loop_
_atom_site_label
_atom_site_fract_x
_atom_site_fract_y
_atom_site_fract_z
Rb1 0.0000 0.2500 0.1297
Cd1 0.0000 0.0000 0.5000
Rh1 0.2500 0.2500 0.7500
F1 0.0000 0.2500 0.4016
F2 0.0000 0.2500 0.8077
F3 0.2281 0.0609 0.6254

***

[3]
# PBE CdRuPt4, optimized geometry
# Formation energy from the elements in eV per atom: 0.1958
data_CdRuPt4
_symmetry_space_group_name_H-M 'F -4 3 m'
_symmetry_Int_Tables_number 216
_symmetry_space_group_name_Hall 'F -4 2 3'
_cell_length_a 7.4637
_cell_length_b 7.4637
_cell_length_c 7.4637
_cell_angle_alpha 90.00
_cell_angle_beta 90.00
_cell_angle_gamma 90.00
loop_
_atom_site_label
_atom_site_fract_x
_atom_site_fract_y
_atom_site_fract_z
Cd1 0.0000 0.0000 0.0000
Ru1 0.2500 0.2500 0.2500
Pt1 0.1248 0.1248 0.6248

***

[4]
# PBE Mg2TaCo, optimized geometry
# Formation energy from the elements in eV per atom: 0.1858
# ΔE to the lowest computed polymorph in eV per atom: 0.157
data_Mg2TaCo
_symmetry_space_group_name_H-M 'F -4 3 m'
_symmetry_Int_Tables_number 216
_symmetry_space_group_name_Hall 'F -4 2 3'
_cell_length_a 6.3224
_cell_length_b 6.3224
_cell_length_c 6.3224
_cell_angle_alpha 90.00
_cell_angle_beta 90.00
_cell_angle_gamma 90.00
loop_
_atom_site_label
_atom_site_fract_x
_atom_site_fract_y
_atom_site_fract_z
Mg1 0.0000 0.0000 0.0000
Mg2 0.2500 0.2500 0.2500
Ta1 0.2500 0.2500 0.7500
Co1 0.0000 0.0000 0.5000